{
  "formula": "Ba2In12Pt3Au",
  "functional": "GGA-PBE",
  "state": "relaxed",
  "lattice_angstrom": [[5.021, 2.899, 6.603], [-5.021, 2.899, 6.603], [0.000, -5.798, 6.603]],
  "species": ["Ba", "Ba", "In", "In", "In", "In", "In", "In", "In", "In", "In", "In", "In", "In", "Pt", "Pt", "Pt", "Au"],
  "fractional_positions": [[0.102, 0.102, 0.102], [0.898, 0.898, 0.898], [0.140, 0.633, 0.633], [0.224, 0.224, 0.615], [0.224, 0.615, 0.224], [0.367, 0.367, 0.860], [0.367, 0.860, 0.367], [0.385, 0.776, 0.776], [0.615, 0.224, 0.224], [0.633, 0.140, 0.633], [0.633, 0.633, 0.140], [0.776, 0.385, 0.776], [0.776, 0.776, 0.385], [0.860, 0.367, 0.367], [0.000, 0.500, 0.500], [0.500, 0.000, 0.500], [0.500, 0.500, 0.000], [0.500, 0.500, 0.500]],
  "ef_mev_per_atom": -193,
  "mass_density_g_cm3": 7.0,
  "sg": "R-3m (166)",
  "total_magnetization_mub_per_fu": 0.00
}